Entry 1:
Below is a relaxed structure of TaHgSe2, with properties calculated at the PBE-GGA level.

For the formation energy (no corrections), the calculation gives -0.325 eV/atom. Its total energy is -5.11 eV/atom.

The structure in CIF format:
```
data_TaHgSe2
_chemical_formula_sum 'Ta4 Hg4 Se8'
_cell_length_a 5.9501
_cell_length_b 13.7025
_cell_length_c 5.9067
_cell_angle_alpha 90.00
_cell_angle_beta 118.82
_cell_angle_gamma 90.00
_symmetry_space_group_name_H-M 'C 1 2/c 1'
_symmetry_Int_Tables_number 15
loop_
_symmetry_equiv_pos_as_xyz
'x,y,z'
'-x,-y,-z'
'-x,y,-z+1/2'
'x,-y,z+1/2'
'x+1/2,y+1/2,z'
'-x+1/2,-y+1/2,-z'
'-x+1/2,y+1/2,-z+1/2'
'x+1/2,-y+1/2,z+1/2'
loop_
_atom_site_label
_atom_site_fract_x
_atom_site_fract_y
_atom_site_fract_z
_atom_site_occupancy
Ta1 0.0000 0.2493 0.2500 1
Hg1 0.0000 0.3323 0.7500 1
Se1 0.1634 0.1162 0.5912 1
```

=====

Entry 2:
Below is a relaxed structure of TaHgSe2, with properties calculated at the PBE-GGA level.

For the formation energy (no corrections), the calculation gives 0.246 eV/atom. Its total energy is -4.53 eV/atom.

The structure in CIF format:
```
data_TaHgSe2
_chemical_formula_sum 'Ta1 Hg1 Se2'
_cell_length_a 3.9194
_cell_length_b 3.9194
_cell_length_c 5.7104
_cell_angle_alpha 90.00
_cell_angle_beta 90.00
_cell_angle_gamma 90.00
_symmetry_space_group_name_H-M 'P 4/m m m'
_symmetry_Int_Tables_number 123
_symmetry_space_group_name_Hall '-P 4 2'
loop_
_atom_site_label
_atom_site_fract_x
_atom_site_fract_y
_atom_site_fract_z
_atom_site_occupancy
Ta1 0.0000 0.0000 0.0000 1
Hg1 0.5000 0.5000 0.5000 1
Se1 0.0000 0.0000 0.5000 1
Se2 0.5000 0.5000 0.0000 1
```